This record from the Open Quantum Materials Database describes an optimized crystal structure of Lu4TlAsC2. The functional is PBE.

Cell lengths 3.548, 3.548, 14.779 Å; angles 90.00, 90.00, 120.00 degrees
Fractional positions:
Lu: 0.000 0.000 0.142
Lu: 0.000 0.000 0.858
Lu: 0.333 0.667 0.317
Lu: 0.333 0.667 0.683
Tl: 0.000 0.000 0.500
As: 0.333 0.667 0.000
C: 0.667 0.333 0.232
C: 0.667 0.333 0.768

Output
VASP energy = -48.5 eV for the cell shown
Symmetry = No. 187